(1)
LaCo2As2 | Alexandria | PBE | relaxed; total energy = -5.8479 eV/atom
1.0
7.644 0.000 0.000
0.000 7.644 0.000
0.000 0.000 3.023
As Co La
4 4 2
direct
0.365 0.865 0.000
0.865 0.635 0.000
0.635 0.135 0.000
0.135 0.365 0.000
0.120 0.620 0.500
0.620 0.880 0.500
0.880 0.380 0.500
0.380 0.120 0.500
0.000 0.000 0.000
0.500 0.500 0.000


(2)
LaCoAs2 | Alexandria | PBE | relaxed; total energy = -6.0999 eV/atom
1.0
-0.744 -2.445 -2.973
-2.375 -2.726 2.836
-4.379 1.473 -0.115
As Co La
2 1 1
direct
0.000 0.084 0.048
0.000 0.416 0.452
0.500 0.250 0.250
0.500 0.750 0.750


(3)
La3CoAs | Alexandria | PBE | relaxed; E above lowest polymorph = 0.0 kJ per mole of atoms; total energy = -5.7341 eV/atom
1.0
-1.950 4.819 0.472
-3.624 -1.790 3.304
3.212 0.907 4.014
As Co La
1 1 3
direct
0.500 0.500 0.500
0.000 0.000 0.000
0.000 0.500 0.000
0.000 0.000 0.500
0.500 0.000 0.000


(4)
LaCo2As2 | Alexandria | PBE | relaxed; total energy = -6.4516 eV/atom
1.0
-0.014 1.134 -3.894
0.288 -3.884 -1.132
-5.430 1.010 2.427
As Co La
2 2 1
direct
0.361 0.361 0.722
0.639 0.639 0.278
0.250 0.750 0.500
0.750 0.250 0.500
0.000 0.000 0.000